Here is an optimized crystal structure of CsHf2Bi from Alexandria via LeMat-Bulk. Energies are from PBE.

Properties
For the density of states at the Fermi level, the calculation gives 16.0 states/eV per cell. The calculation puts the energy of formation from the pure elements at 114.0 kJ/mol of atoms. The calculation puts the total magnetization at 0.0 μB per formula unit.

Lattice parameters (Å, degrees): 7.1448 7.1448 7.1448 102.92 102.92 123.56
Closest atoms and distances in Å follow each position.
Fractional positions:
Cs (0.0000, 0.0000, 0.0000)  2 Bi 3.38, 4 Hf 3.59
Cs (0.7500, 0.2500, 0.5000)  2 Bi 3.38, 4 Hf 3.59
Hf (0.1768, 0.1250, 0.5518)  2 Bi 2.96
Hf (0.3750, 0.8232, 0.9482)  2 Bi 2.96
Hf (0.5732, 0.6250, 0.4482)  2 Bi 2.96
Hf (0.8750, 0.4268, 0.0518)  2 Bi 2.96
Bi (0.2500, 0.7500, 0.5000)  4 Hf 2.96
Bi (0.5000, 0.5000, 0.0000)  4 Hf 2.96

=====

Here is an optimized crystal structure of CsHf3Bi from Alexandria via LeMat-Bulk. Energies are from PBE.

Properties
For the density of states at the Fermi level, the calculation gives 9.0 states/eV per cell. The calculation puts the energy of formation from the pure elements at 144.5 kJ/mol of atoms. The calculation puts the total magnetization at 0.0 μB per formula unit. The relative energy among the computed polymorphs comes out at 0.0000 eV per atom.

Lattice parameters (Å, degrees): 5.6059 5.6059 5.6059 90.00 90.00 90.00
Closest atoms and distances in Å follow each position.
Fractional positions:
Cs (0.0000, 0.0000, 0.0000)  12 Hf 3.96
Hf (0.0000, 0.5000, 0.5000)  2 Bi 2.80
Hf (0.5000, 0.0000, 0.5000)  2 Bi 2.80
Hf (0.5000, 0.5000, 0.0000)  2 Bi 2.80
Bi (0.5000, 0.5000, 0.5000)  6 Hf 2.80

=====

Here is an optimized crystal structure of CsHfBi3 from Alexandria via LeMat-Bulk. Energies are from PBE.

Properties
For the density of states at the Fermi level, the calculation gives 6.0 states/eV per cell. The calculation puts the energy of formation from the pure elements at -7.0 kJ/mol of atoms. The calculation puts the total magnetization at 0.0 μB per formula unit. The relative energy among the computed polymorphs comes out at 0.0000 eV per atom.

Lattice parameters (Å, degrees): 5.7886 5.7886 5.7886 90.00 90.00 90.00
Closest atoms and distances in Å follow each position.
Fractional positions:
Cs (0.0000, 0.0000, 0.0000)  12 Bi 4.09
Hf (0.5000, 0.5000, 0.5000)  6 Bi 2.89
Bi (0.0000, 0.5000, 0.5000)  2 Hf 2.89
Bi (0.5000, 0.0000, 0.5000)  2 Hf 2.89
Bi (0.5000, 0.5000, 0.0000)  2 Hf 2.89

=====

Here is an optimized crystal structure of Cs2HfBi2 from Alexandria via LeMat-Bulk. Energies are from PBE.

Properties
For the density of states at the Fermi level, the calculation gives 0.9 states/eV per cell. The calculation puts the energy of formation from the pure elements at -8.5 kJ/mol of atoms. The calculation puts the total magnetization at 0.0 μB per formula unit.

Lattice parameters (Å, degrees): 21.0456 21.0456 21.0456 166.52 166.52 19.10
Closest atoms and distances in Å follow each position.
Fractional positions:
Cs (0.0473, 0.2973, 0.7500)  4 Bi 3.89, 2 Hf 4.06
Cs (0.2973, 0.0473, 0.2500)  4 Bi 3.89, 2 Hf 4.06
Cs (0.7027, 0.9527, 0.7500)  4 Bi 3.89, 2 Hf 4.06
Cs (0.9527, 0.7027, 0.2500)  4 Bi 3.89, 2 Hf 4.06
Hf (0.3750, 0.6250, 0.7500)  4 Bi 2.90
Hf (0.6250, 0.3750, 0.2500)  4 Bi 2.90
Bi (0.1615, 0.4115, 0.7500)  2 Hf 2.90
Bi (0.4115, 0.1615, 0.2500)  2 Hf 2.90
Bi (0.5885, 0.8385, 0.7500)  2 Hf 2.90
Bi (0.8385, 0.5885, 0.2500)  2 Hf 2.90

=====

Here is an optimized crystal structure of CsHfBi4 from Alexandria via LeMat-Bulk. Energies are from PBE.

Properties
For the density of states at the Fermi level, the calculation gives 6.2 states/eV per cell. The calculation puts the energy of formation from the pure elements at -19.0 kJ/mol of atoms. The calculation puts the total magnetization at 0.2 μB per formula unit.

Lattice parameters (Å, degrees): 11.0349 11.0349 11.0349 151.85 126.86 61.21
Closest atoms and distances in Å follow each position.
Fractional positions:
Cs (0.1882, 0.1882, 0.0000)  10 Bi 4.11-4.42
Cs (0.8118, 0.8118, 0.0000)  10 Bi 4.11-4.42
Hf (0.5000, 0.2494, 0.7494)  2 Hf 2.68-2.69
Hf (0.5000, 0.7506, 0.2506)  2 Hf 2.68-2.69
Bi (0.1915, 0.3955, 0.7959)  2 Hf 3.13, 4 Bi 3.43-3.45
Bi (0.2140, 0.0000, 0.2140)  2 Hf 3.12, 4 Bi 3.43
Bi (0.3522, 0.8522, 0.5000)  2 Hf 3.11, 4 Bi 3.45
Bi (0.4004, 0.6045, 0.7959)  2 Hf 3.13, 4 Bi 3.43-3.45
Bi (0.5996, 0.3955, 0.2041)  2 Hf 3.13, 4 Bi 3.43-3.45
Bi (0.6478, 0.1478, 0.5000)  2 Hf 3.11, 4 Bi 3.45
Bi (0.7860, 0.0000, 0.7860)  2 Hf 3.12, 4 Bi 3.43
Bi (0.8085, 0.6045, 0.2041)  2 Hf 3.13, 4 Bi 3.43-3.45

=====

Here is an optimized crystal structure of CsHf3Bi3 from Alexandria via LeMat-Bulk. Energies are from PBE.

Properties
For the density of states at the Fermi level, the calculation gives 13.5 states/eV per cell. The calculation puts the energy of formation from the pure elements at -9.4 kJ/mol of atoms. The calculation puts the total magnetization at 0.0 μB per formula unit.

Lattice parameters (Å, degrees): 10.7739 10.7739 5.0233 90.00 90.00 120.00
Closest atoms and distances in Å follow each position.
Fractional positions:
Cs (0.3333, 0.6667, 0.2500)  9 Bi 3.99-4.11
Cs (0.6667, 0.3333, 0.7500)  9 Bi 3.99-4.11
Hf (0.0249, 0.1882, 0.2500)  4 Bi 3.01-3.10, 6 Hf 3.15-3.31
Hf (0.1634, 0.9751, 0.2500)  4 Bi 3.01-3.10, 6 Hf 3.15-3.31
Hf (0.1882, 0.1634, 0.7500)  4 Bi 3.01-3.10, 6 Hf 3.15-3.31
Hf (0.8118, 0.8366, 0.2500)  4 Bi 3.01-3.10, 6 Hf 3.15-3.31
Hf (0.8366, 0.0249, 0.7500)  4 Bi 3.01-3.10, 6 Hf 3.15-3.31
Hf (0.9751, 0.8118, 0.7500)  4 Bi 3.01-3.10, 6 Hf 3.15-3.31
Bi (0.0462, 0.3521, 0.7500)  4 Hf 3.01-3.10
Bi (0.3060, 0.9538, 0.7500)  4 Hf 3.01-3.10
Bi (0.3521, 0.3060, 0.2500)  4 Hf 3.01-3.10
Bi (0.6479, 0.6940, 0.7500)  4 Hf 3.01-3.10
Bi (0.6940, 0.0462, 0.2500)  4 Hf 3.01-3.10
Bi (0.9538, 0.6479, 0.2500)  4 Hf 3.01-3.10

=====

Here is an optimized crystal structure of CsHfBi3 from Alexandria via LeMat-Bulk. Energies are from PBE.

Properties
For the density of states at the Fermi level, the calculation gives 4.2 states/eV per cell. The calculation puts the energy of formation from the pure elements at 178.0 kJ/mol of atoms. The calculation puts the total magnetization at 0.0 μB per formula unit. The relative energy among the computed polymorphs comes out at 1.9170 eV per atom.

Lattice parameters (Å, degrees): 6.0314 6.0314 6.0314 90.00 90.00 90.00
Closest atoms and distances in Å follow each position.
Fractional positions:
Cs (0.0000, 0.0000, 0.0000)  6 Bi 3.02
Hf (0.5000, 0.5000, 0.5000)  12 Bi 4.26
Bi (0.0000, 0.0000, 0.5000)  2 Cs 3.02
Bi (0.0000, 0.5000, 0.0000)  2 Cs 3.02
Bi (0.5000, 0.0000, 0.0000)  2 Cs 3.02

=====

Here is an optimized crystal structure of CsHfHgBi2 from Alexandria via LeMat-Bulk. Energies are from PBE.

Properties
For the density of states at the Fermi level, the calculation gives 3.9 states/eV per cell. The calculation puts the energy of formation from the pure elements at -12.3 kJ/mol of atoms. The calculation puts the total magnetization at 0.0 μB per formula unit. The relative energy among the computed polymorphs comes out at 0.0000 eV per atom.

Lattice parameters (Å, degrees): 5.7029 5.7029 5.9015 90.00 90.00 90.00
Closest atoms and distances in Å follow each position.
Fractional positions:
Cs (0.0000, 0.0000, 0.0000)  4 Hg 4.03, 8 Bi 4.10
Hf (0.5000, 0.5000, 0.5000)  4 Bi 2.85, 2 Hg 2.95
Hg (0.5000, 0.5000, 0.0000)  2 Hf 2.95
Bi (0.0000, 0.5000, 0.5000)  2 Hf 2.85
Bi (0.5000, 0.0000, 0.5000)  2 Hf 2.85

=====

Here is an optimized crystal structure of CsHfHgBi2 from Alexandria via LeMat-Bulk. Energies are from PBE.

Properties
For the density of states at the Fermi level, the calculation gives 5.1 states/eV per cell. The calculation puts the energy of formation from the pure elements at 65.5 kJ/mol of atoms. The calculation puts the total magnetization at 0.0 μB per formula unit. The relative energy among the computed polymorphs comes out at 0.8065 eV per atom.

Lattice parameters (Å, degrees): 5.9731 5.9731 5.4957 90.00 90.00 90.00
Closest atoms and distances in Å follow each position.
Fractional positions:
Cs (0.0000, 0.0000, 0.0000)  8 Bi 4.06, 4 Hf 4.22
Hf (0.5000, 0.5000, 0.0000)  2 Hg 2.75
Hg (0.5000, 0.5000, 0.5000)  2 Hf 2.75, 4 Bi 2.99
Bi (0.0000, 0.5000, 0.5000)  2 Hg 2.99
Bi (0.5000, 0.0000, 0.5000)  2 Hg 2.99

=====

Here is an optimized crystal structure of CsHf2BiI from Alexandria via LeMat-Bulk. Energies are from PBE.

Properties
For the density of states at the Fermi level, the calculation gives 8.5 states/eV per cell. The calculation puts the total energy at -4.440 eV/atom. The calculation puts the total magnetization at 2.8 μB per formula unit.

Lattice parameters (Å, degrees): 5.5705 5.5705 7.8787 90.00 90.00 90.00
Closest atoms and distances in Å follow each position.
Fractional positions:
Cs (0.0000, 0.0000, 0.0000)  4 I 3.94, 2 Bi 3.94
Hf (0.0000, 0.5000, 0.5000)  2 Bi 2.79
Hf (0.5000, 0.0000, 0.5000)  2 Bi 2.79
Bi (0.0000, 0.0000, 0.5000)  4 Hf 2.79
I (0.5000, 0.5000, 0.0000)  4 Cs 3.94

=====

Here is an optimized crystal structure of CsK2HfBi from Alexandria via LeMat-Bulk. Energies are from PBE.

Properties
For the density of states at the Fermi level, the calculation gives 6.0 states/eV per cell. The calculation puts the energy of formation from the pure elements at 123.2 kJ/mol of atoms. The calculation puts the total magnetization at 0.0 μB per formula unit.

Lattice parameters (Å, degrees): 6.1539 6.1539 5.8388 90.00 90.00 90.00
Closest atoms and distances in Å follow each position.
Fractional positions:
Cs (0.0000, 0.0000, 0.0000)  2 Hf 2.92, 4 K 3.08
K (0.0000, 0.5000, 0.0000)  2 Cs 3.08
K (0.5000, 0.0000, 0.0000)  2 Cs 3.08
Hf (0.0000, 0.0000, 0.5000)  2 Cs 2.92
Bi (0.5000, 0.5000, 0.5000)  8 K 4.24, 4 Hf 4.35

=====

Here is an optimized crystal structure of Cs2KHfBi from Alexandria via LeMat-Bulk. Energies are from PBE.

Properties
For the density of states at the Fermi level, the calculation gives 3.5 states/eV per cell. The calculation puts the energy of formation from the pure elements at 45.4 kJ/mol of atoms. The calculation puts the total magnetization at 0.8 μB per formula unit.

Lattice parameters (Å, degrees): 7.6965 7.6965 5.6398 90.00 90.00 90.00
Closest atoms and distances in Å follow each position.
Fractional positions:
Cs (0.0000, 0.5000, 0.0000)  2 Hf 3.85
Cs (0.5000, 0.0000, 0.0000)  2 Hf 3.85
K (0.0000, 0.0000, 0.5000)  8 Cs 4.77
Hf (0.5000, 0.5000, 0.0000)  2 Bi 2.82
Bi (0.5000, 0.5000, 0.5000)  2 Hf 2.82